This record from Alexandria via LeMat-Bulk describes Tb2ErAl3Ga6 after structural relaxation. The functional is PBE-GGA.

Output
D(E_F): 4.20 states/eV per cell
energy of formation from the pure elements: -17 kJ/mol of atoms
raw total energy: -3.7768 eV per atom

a = 4.0790 Å, b = 4.0790 Å, c = 17.3846 Å
α = 90.00°, β = 90.00°, γ = 90.00°
Last column: nearest neighbours and their distance in Å.
Sites, in units of the cell vectors:
Tb1 0.5000 0.5000 0.7786  4 Al 3.05, 8 Ga 3.23-3.35
Tb2 0.5000 0.5000 0.2214  4 Al 3.05, 8 Ga 3.23-3.35
Er1 0.5000 0.5000 0.5000  8 Ga 2.99
Al1 0.0000 0.0000 0.0000  2 Ga 2.40
Al2 0.0000 0.0000 0.2777  5 Ga 2.43-2.64
Al3 0.0000 0.0000 0.7223  5 Ga 2.43-2.64
Ga1 0.5000 0.0000 0.6260  2 Al 2.64, 4 Ga 2.88
Ga2 0.0000 0.5000 0.6260  2 Al 2.64, 4 Ga 2.88
Ga3 0.0000 0.5000 0.3740  2 Al 2.64, 4 Ga 2.88
Ga4 0.0000 0.0000 0.8620  2 Al 2.40-2.43
Ga5 0.0000 0.0000 0.1380  2 Al 2.40-2.43
Ga6 0.5000 0.0000 0.3740  2 Al 2.64, 4 Ga 2.88

---

This record from Alexandria via LeMat-Bulk describes TbEr2Al2Ga2 after structural relaxation. The functional is PBE-GGA.

Output
D(E_F): 6.22 states/eV per cell
energy of formation from the pure elements: -36 kJ/mol of atoms
raw total energy: -4.2753 eV per atom

a = 4.3434 Å, b = 4.3434 Å, c = 10.2164 Å
α = 77.73°, β = 77.73°, γ = 60.00°
Last column: nearest neighbours and their distance in Å.
Sites, in units of the cell vectors:
Er1 0.8725 0.8725 0.3826  3 Ga 2.95, 3 Al 3.19
Er2 0.1275 0.1275 0.6174  3 Ga 2.95, 3 Al 3.19
Al1 0.3946 0.3946 0.8162  3 Ga 2.54
Al2 0.6054 0.6054 0.1838  3 Ga 2.54
Tb1 0.0000 0.0000 0.0000  6 Al 3.10, 6 Ga 3.36
Ga1 0.2581 0.2581 0.2256  3 Al 2.54
Ga2 0.7419 0.7419 0.7744  3 Al 2.54

---

Number 2 is which compound?
TbEr2Al2Ga2